# Er7Zn2Ru2

Crystalline Er7Zn2Ru2 at its relaxed geometry (PBE, the Alexandria database).

The structure in CIF format:
```
data_Er7Zn2Ru2
_chemical_formula_sum 'Er14 Zn4 Ru4'
_cell_length_a 7.4232
_cell_length_b 10.7807
_cell_length_c 7.0810
_cell_angle_alpha 90.00
_cell_angle_beta 90.00
_cell_angle_gamma 90.00
_symmetry_space_group_name_H-M 'C m m m'
_symmetry_Int_Tables_number 65
_symmetry_space_group_name_Hall '-C 2 2'
loop_
_atom_site_label
_atom_site_type_symbol
_atom_site_fract_x
_atom_site_fract_y
_atom_site_fract_z
Er1 Er 0.0000 0.0000 0.0000
Er2 Er 0.0000 0.5000 0.2494
Er3 Er 0.2500 0.2500 0.2643
Zn1 Zn 0.1690 0.0000 0.5000
Ru1 Ru 0.0000 0.3008 0.0000
```

Calculated values
ΔH_f (0 K) ... -0.196 eV per atom
E ... -5.017 eV/atom
Density ... 8.81 g cm⁻³


# KSi2Pd5

Crystalline KSi2Pd5 at its relaxed geometry (PBE, the Alexandria database).

The structure in CIF format:
```
data_KSi2Pd5
_chemical_formula_sum 'K2 Si4 Pd10'
_cell_length_a 3.8794
_cell_length_b 7.0669
_cell_length_c 10.3985
_cell_angle_alpha 90.00
_cell_angle_beta 90.00
_cell_angle_gamma 90.00
_symmetry_space_group_name_H-M 'I m m m'
_symmetry_Int_Tables_number 71
_symmetry_space_group_name_Hall '-I 2 2'
loop_
_atom_site_label
_atom_site_type_symbol
_atom_site_fract_x
_atom_site_fract_y
_atom_site_fract_z
K1 K 0.0000 0.0000 0.0000
Si1 Si 0.0000 0.5000 0.2301
Pd1 Pd 0.0000 0.1956 0.3411
Pd2 Pd 0.0000 0.5000 0.0000
```

Calculated values
E ... -5.247 eV/atom
Density ... 7.31 g cm⁻³
Energy relative to the elements, uncorrected ... -508.6 meV/atom


# SrAg3B

Crystalline SrAg3B at its relaxed geometry (PBE, the Alexandria database).

The structure in CIF format:
```
data_SrAg3B
_chemical_formula_sum 'Sr1 Ag3 B1'
_cell_length_a 4.6147
_cell_length_b 4.6147
_cell_length_c 4.6147
_cell_angle_alpha 90.00
_cell_angle_beta 90.00
_cell_angle_gamma 90.00
_symmetry_space_group_name_H-M 'P m -3 m'
_symmetry_Int_Tables_number 221
_symmetry_space_group_name_Hall '-P 4 2 3'
loop_
_atom_site_label
_atom_site_type_symbol
_atom_site_fract_x
_atom_site_fract_y
_atom_site_fract_z
Sr1 Sr 0.0000 0.0000 0.0000
Ag1 Ag 0.0000 0.5000 0.5000
B1 B 0.5000 0.5000 0.5000
```

Calculated values
ΔH_f (0 K) ... 0.094 eV per atom
E ... -3.289 eV/atom
Density ... 7.13 g cm⁻³
Excess energy over the best structure of this formula in the dataset ... 0 meV per atom


# Ti2CrS5

Crystalline Ti2CrS5 at its relaxed geometry (PBE, the Alexandria database).

The structure in CIF format:
```
data_Ti2CrS5
_chemical_formula_sum 'Ti8 Cr4 S20'
_cell_length_a 4.4569
_cell_length_b 11.9667
_cell_length_c 12.6737
_cell_angle_alpha 90.00
_cell_angle_beta 90.00
_cell_angle_gamma 90.00
_symmetry_space_group_name_H-M 'F m m m'
_symmetry_Int_Tables_number 69
_symmetry_space_group_name_Hall '-F 2 2'
loop_
_atom_site_label
_atom_site_type_symbol
_atom_site_fract_x
_atom_site_fract_y
_atom_site_fract_z
Ti1 Ti 0.0000 0.0000 0.1860
Cr1 Cr 0.0000 0.0000 0.5000
S1 S 0.0000 0.0000 0.0000
S2 S 0.0000 0.1220 0.3424
```

Calculated values
E ... -6.566 eV/atom
Density ... 3.03 g cm⁻³
Energy relative to the elements, uncorrected ... -810.1 meV/atom


# Pr4Nd3ErSe8

Crystalline Pr4Nd3ErSe8 at its relaxed geometry (PBE, the Alexandria database).

The structure in CIF format:
```
data_Pr4Nd3ErSe8
_chemical_formula_sum 'Pr12 Nd9 Er3 Se24'
_cell_length_a 8.4379
_cell_length_b 8.4379
_cell_length_c 20.7838
_cell_angle_alpha 90.00
_cell_angle_beta 90.00
_cell_angle_gamma 120.00
_symmetry_space_group_name_H-M 'R -3 m'
_symmetry_Int_Tables_number 166
_symmetry_space_group_name_Hall '-R 3 2"'
loop_
_atom_site_label
_atom_site_type_symbol
_atom_site_fract_x
_atom_site_fract_y
_atom_site_fract_z
Pr1 Pr 0.0000 0.0000 0.0000
Pr2 Pr 0.0000 0.5000 0.0000
Nd1 Nd 0.0000 0.5000 0.5000
Er1 Er 0.0000 0.0000 0.5000
Se1 Se 0.0000 0.0000 0.2489
Se2 Se 0.0093 0.5047 0.2467
```

Calculated values
E ... -5.933 eV/atom
Density ... 6.98 g cm⁻³
Energy relative to the elements, uncorrected ... -1816.8 meV/atom


# SmMnCoSi3

Crystalline SmMnCoSi3 at its relaxed geometry (PBE, the Alexandria database).

The structure in CIF format:
```
data_SmMnCoSi3
_chemical_formula_sum 'Sm4 Mn4 Co4 Si12'
_cell_length_a 5.9450
_cell_length_b 11.3457
_cell_length_c 5.9311
_cell_angle_alpha 90.00
_cell_angle_beta 90.00
_cell_angle_gamma 90.00
_symmetry_space_group_name_H-M 'C m c m'
_symmetry_Int_Tables_number 63
_symmetry_space_group_name_Hall '-C 2c 2'
loop_
_atom_site_label
_atom_site_type_symbol
_atom_site_fract_x
_atom_site_fract_y
_atom_site_fract_z
Sm1 Sm 0.0000 0.2474 0.2500
Mn1 Mn 0.0000 0.0243 0.7500
Co1 Co 0.0000 0.3968 0.7500
Si1 Si 0.0000 0.2112 0.7500
Si2 Si 0.2077 0.5000 0.0000
```

Calculated values
E ... -6.560 eV/atom
Density ... 5.79 g cm⁻³
Energy relative to the elements, uncorrected ... -349.8 meV/atom


Number 1: calculated volume 25.76 Å³/atom. Number 2: calculated volume 17.82 Å³/atom. Number 3: calculated volume 19.65 Å³/atom. Number 4: calculated volume 21.12 Å³/atom. Number 5: calculated volume 26.70 Å³/atom. Number 6: calculated volume 16.67 Å³/atom.